DFT (PBE-GGA) results for a geometry-optimized Sc2PPd8 structure.

Formation enthalpy at 0 K   -0.714 eV per atom
DFT total energy   -67.46 eV for the cell shown
Magnetic moment   0.000 μB per cell

abc: 4.5523 5.6957 7.7275
angles: 111.59 107.13 90.00
Closest atoms and distances in Å follow each position.
Positions (direct):
Pd  0.0002  0.7543  0.0003  2 P 2.67, 8 Pd 2.80-2.94, 2 Sc 2.95
Pd  0.3702  0.6138  0.7403  1 P 2.30
Pd  0.6302  0.8748  0.2604  1 P 2.29
Sc  0.1884  0.6884  0.3769  12 Pd 2.78-2.95
Pd  0.1894  0.1897  0.3787  8 Pd 2.82-2.94, 4 Sc 2.82-2.85
Pd  0.6298  0.3862  0.2597  1 P 2.30
Pd  0.9998  0.2457  0.9997  2 P 2.67, 8 Pd 2.80-2.94, 2 Sc 2.95
Sc  0.8116  0.3116  0.6231  12 Pd 2.78-2.95
Pd  0.8106  0.8103  0.6213  8 Pd 2.82-2.94, 4 Sc 2.82-2.85
P  0.5000  0.0000  0.0000  4 Pd 2.29-2.30
Pd  0.3698  0.1252  0.7396  1 P 2.29

=====

DFT (PBE-GGA) results for a geometry-optimized ScPPd3 structure.

Formation enthalpy at 0 K   0.670 eV per atom
DFT total energy   -23.97 eV for the cell shown
Magnetic moment   0.000 μB per cell
Energy relative to the lowest polymorph listed for this composition   1174 meV/atom

abc: 4.7302 4.7302 4.7302
angles: 90.00 90.00 90.00
Closest atoms and distances in Å follow each position.
Positions (direct):
Pd  0.5000  0.0000  0.0000  2 Sc 2.37
Pd  0.0000  0.5000  0.0000  2 Sc 2.37
Pd  0.0000  0.0000  0.5000  2 Sc 2.37
P  0.5000  0.5000  0.5000  12 Pd 3.34
Sc  0.0000  0.0000  0.0000  6 Pd 2.37

=====

DFT (PBE-GGA) results for a geometry-optimized Sc2PPd structure.

Formation enthalpy at 0 K   -0.161 eV per atom
DFT total energy   -23.91 eV for the cell shown
Magnetic moment   0.000 μB per cell

abc: 8.9590 8.9590 8.9590
angles: 22.12 22.12 22.12
Closest atoms and distances in Å follow each position.
Positions (direct):
Sc  0.0962  0.0962  0.0962  1 P 2.52, 3 Pd 2.71
Pd  0.5000  0.5000  0.5000  6 Sc 2.71
P  0.0000  0.0000  0.0000  2 Sc 2.52
Sc  0.9038  0.9038  0.9038  1 P 2.52, 3 Pd 2.71